{"formula": "YTc2Ru", "functional": "PBE-GGA", "state": "relaxed", "lattice_angstrom": [[0.0000, 3.2248, 3.2248], [3.2248, 0.0000, 3.2248], [3.2248, 3.2248, 0.0000]], "species": ["Tc", "Tc", "Ru", "Y"], "frac_coords": [[0.2500, 0.2500, 0.2500], [0.7500, 0.7500, 0.7500], [0.5000, 0.5000, 0.5000], [0.0000, 0.0000, 0.0000]], "polymorph_energy_kj_per_mol_fu": 88.2, "final_energy_ev_per_atom": -8.759, "formation_enthalpy_0k_ev_per_atom": 0.36}